No. 1
{"formula": "NaV2PdBr", "functional": "PBE", "state": "optimized geometry", "formation_energy_uncorrected_mev_per_atom": 1582, "total_energy_ev_per_atom": -3.703, "cell": [[5.137, 0.000, 0.000], [0.000, 4.775, 0.000], [0.000, 0.000, 5.137]], "species": ["V", "Br", "Pd", "V", "Na"], "fractional_positions": [[0.000, 0.000, 0.500], [0.000, 0.500, 0.000], [0.500, 0.500, 0.500], [0.500, 0.000, 0.000], [0.000, 0.000, 0.000]]}

No. 2
{"formula": "BaIn2Tc", "functional": "PBE", "state": "optimized geometry", "polymorph_energy_mev_per_atom": 0.0, "total_energy_ev_per_atom": -4.310, "cell": [[3.523, 0.000, 0.000], [0.000, 3.494, 0.000], [0.000, 3.495, 8.210]], "species": ["In", "In", "Tc", "Ba"], "fractional_positions": [[0.000, 0.570, 0.430], [0.000, 0.930, 0.070], [0.500, 0.250, 0.250], [0.500, 0.750, 0.750]]}

No. 3
{"formula": "Ac2PbO", "functional": "PBE", "state": "optimized geometry", "formation_energy_uncorrected_mev_per_atom": -1060, "polymorph_energy_mev_per_atom": 631.1, "total_energy_ev_per_atom": -5.281, "cell": [[-2.871, 0.672, 1.939], [1.385, -1.828, 2.684], [3.583, 6.960, 2.892]], "species": ["O", "Ac", "Pb", "Ac"], "fractional_positions": [[0.500, 0.500, 0.000], [0.000, 0.000, 0.205], [0.500, 0.500, 0.500], [0.000, 0.000, 0.795]]}

No. 4
{"formula": "CeZrTlZn", "functional": "PBE", "state": "optimized geometry", "total_energy_ev_per_atom": -4.601, "cell": [[5.134, 0.000, 0.000], [2.567, 4.446, 0.000], [2.567, 1.482, 4.192]], "species": ["Tl", "Zr", "Zn", "Ce"], "fractional_positions": [[0.500, 0.500, 0.500], [0.250, 0.250, 0.250], [0.000, 0.000, 0.000], [0.750, 0.750, 0.750]]}

No. 5
{"formula": "Sm3CuNi2", "functional": "PBE", "state": "optimized geometry", "total_energy_ev_per_atom": -5.237, "cell": [[-2.318, -0.227, 3.120], [-8.926, -2.644, -6.824], [2.592, -11.551, 1.085]], "species": ["Ni", "Cu", "Sm", "Sm", "Ni", "Ni", "Ni", "Ni", "Sm", "Sm", "Sm", "Sm", "Cu", "Cu", "Sm", "Ni", "Sm", "Sm", "Ni", "Cu", "Ni", "Sm", "Sm", "Sm"], "fractional_positions": [[0.250, 0.997, 0.307], [0.750, 0.882, 0.875], [0.250, 0.426, 0.378], [0.750, 0.630, 0.940], [0.750, 0.003, 0.693], [0.250, 0.808, 0.984], [0.250, 0.692, 0.484], [0.750, 0.308, 0.516], [0.250, 0.130, 0.560], [0.750, 0.870, 0.440], [0.750, 0.173, 0.297], [0.750, 0.327, 0.797], [0.250, 0.118, 0.125], [0.750, 0.618, 0.375], [0.250, 0.827, 0.703], [0.250, 0.503, 0.807], [0.250, 0.074, 0.878], [0.750, 0.574, 0.622], [0.750, 0.192, 0.016], [0.250, 0.382, 0.625], [0.750, 0.497, 0.193], [0.250, 0.370, 0.060], [0.250, 0.673, 0.203], [0.750, 0.926, 0.122]]}

No. 6
{"formula": "Li3PaSn2S6", "functional": "PBE", "state": "optimized geometry", "formation_energy_uncorrected_mev_per_atom": -1111, "total_energy_ev_per_atom": -5.111, "cell": [[-3.479, 5.723, -2.374], [2.969, -4.619, -4.511], [-5.027, -3.557, 2.048]], "species": ["S", "Li", "Sn", "S", "Li", "Li", "S", "Pa", "Sn", "S", "S", "S"], "fractional_positions": [[0.615, 0.920, 0.747], [0.855, 0.145, 0.500], [0.671, 0.329, 0.000], [0.920, 0.615, 0.747], [0.500, 0.500, 0.500], [0.145, 0.855, 0.500], [0.385, 0.080, 0.253], [0.000, 0.000, 0.000], [0.329, 0.671, 0.000], [0.763, 0.763, 0.244], [0.080, 0.385, 0.253], [0.237, 0.237, 0.756]]}

No. 7
{"formula": "NaAgPt2", "functional": "PBE", "state": "optimized geometry", "total_energy_ev_per_atom": -3.889, "cell": [[3.859, 0.000, 0.000], [0.000, 3.859, 0.000], [1.929, 1.929, 9.862]], "species": ["Ag", "Na", "Pt", "Na", "Pt", "Pt", "Ag", "Pt"], "fractional_positions": [[0.750, 0.250, 0.500], [0.250, 0.750, 0.500], [0.124, 0.625, 0.250], [0.500, 0.500, 0.000], [0.875, 0.876, 0.750], [0.626, 0.125, 0.250], [0.000, 0.000, 0.000], [0.375, 0.374, 0.750]]}

No. 8
{"formula": "KNa5", "functional": "PBE", "state": "optimized geometry", "polymorph_energy_mev_per_atom": 12.7, "total_energy_ev_per_atom": -1.248, "cell": [[-3.961, 4.588, -1.112], [0.083, -4.955, -3.663], [-5.297, -3.467, 4.568]], "species": ["Na", "Na", "Na", "Na", "Na", "K"], "fractional_positions": [[0.667, 0.333, 0.230], [0.333, 0.667, 0.770], [0.333, 0.667, 0.230], [0.667, 0.333, 0.770], [0.000, 0.000, 0.000], [0.000, 0.000, 0.500]]}